Record 1
Material: BeTl
Method: DFT, GGA-PBE
State: optimized geometry

## Properties
calculated total energy: -2.24 eV/atom
energy relative to the lowest polymorph listed for this composition: 8.463 kcal/mol of atoms
DFT formation energy: 0.8048 eV/atom
volume: 77 Å³ per cell
calculated density: 9.18 g/cm³
size of the total moment: 0.000 μB per formula unit

Cell lengths 5.5063, 3.2667, 4.2935 Å; angles 90.00, 90.00, 90.00 degrees
Fractional coordinates of all 4 atoms:
Be: 0.2500 0.0000 0.1665
Be: 0.7500 0.0000 0.8335
Tl: 0.2500 0.5000 0.6895
Tl: 0.7500 0.5000 0.3105



Record 2
Material: Be2Tl
Method: DFT, GGA-PBE
State: optimized geometry

## Properties
calculated total energy: -2.56 eV/atom
energy relative to the lowest polymorph listed for this composition: 10.292 kcal/mol of atoms
DFT formation energy: 0.7157 eV/atom
volume: 92 Å³ per cell
calculated density: 8.06 g/cm³
size of the total moment: 0.000 μB per formula unit

Cell lengths 3.4044, 3.7709, 7.1351 Å; angles 90.00, 90.00, 90.00 degrees
Fractional coordinates of all 6 atoms:
Be: 0.0000 0.0000 0.1562
Be: 0.0000 0.0000 0.8438
Be: 0.5000 0.5000 0.3438
Be: 0.5000 0.5000 0.6562
Tl: 0.0000 0.0000 0.5000
Tl: 0.5000 0.5000 0.0000



Record 3
Material: BeTl
Method: DFT, GGA-PBE
State: optimized geometry

## Properties
calculated total energy: -2.40 eV/atom
energy relative to the lowest polymorph listed for this composition: 4.904 kcal/mol of atoms
DFT formation energy: 0.6505 eV/atom
volume: 162 Å³ per cell
calculated density: 8.77 g/cm³
size of the total moment: 0.000 μB per formula unit

Cell lengths 7.1040, 6.8808, 5.2383 Å; angles 70.28, 65.76, 43.96 degrees
Fractional coordinates of all 8 atoms:
Be: 0.0294 0.0294 0.2206
Be: 0.2206 0.2206 0.0294
Be: 0.7794 0.7794 0.9706
Be: 0.9706 0.9706 0.7794
Tl: 0.1787 0.5713 0.1787
Tl: 0.4287 0.8213 0.4287
Tl: 0.5713 0.1787 0.5713
Tl: 0.8213 0.4287 0.8213



Record 4
Material: BeTl
Method: DFT, GGA-PBE
State: optimized geometry

## Properties
calculated total energy: -2.61 eV/atom
energy relative to the lowest polymorph listed for this composition: 0.000 kcal/mol of atoms
DFT formation energy: 0.4378 eV/atom
volume: 245 Å³ per cell
calculated density: 8.69 g/cm³
size of the total moment: 0.000 μB per formula unit

Cell lengths 12.5447, 3.8813, 5.0702 Å; angles 90.00, 97.65, 90.00 degrees
Fractional coordinates of all 12 atoms:
Be: 0.0000 0.0000 0.0000
Be: 0.0633 0.5000 0.9197
Be: 0.4100 0.0000 0.0031
Be: 0.5000 0.5000 0.0000
Be: 0.5633 0.0000 0.9197
Be: 0.9100 0.5000 0.0031
Tl: 0.0927 0.5000 0.4345
Tl: 0.2138 0.0000 0.9807
Tl: 0.3644 0.5000 0.5148
Tl: 0.5927 0.0000 0.4345
Tl: 0.7138 0.5000 0.9807
Tl: 0.8644 0.0000 0.5148